#one
## MoRuSe2 (GGA-PBE)

Data for a relaxed MoRuSe2 crystal.

abc: 5.5307 5.5307 5.5307
angles: 147.50 133.78 57.64
With the nearest neighbours (Å) after each atom.
Positions (direct):
Mo 0.0000 0.0000 0.0000  6 Se 2.66-2.67
Ru 0.2802 0.7802 0.5000  6 Se 2.61-2.67
Se 0.4976 0.4976 0.0000  2 Ru 2.61, 4 Mo 2.67
Se 0.7769 0.2769 0.5000  2 Mo 2.66, 4 Ru 2.67

Computed properties:
As for the crystal system: orthorhombic. As for the volume: 16.282 Å³ per atom. The symmetry is Imm2, No. 44. The density of states at the Fermi level comes out at 4.72 states/eV/cell.

=====

#two
## MoRuSe2 (GGA-PBE)

Data for a relaxed MoRuSe2 crystal.

abc: 3.1846 3.1846 7.9753
angles: 90.00 90.00 121.47
With the nearest neighbours (Å) after each atom.
Positions (direct):
Mo 0.0000 0.0000 0.0000  4 Se 2.55
Ru 0.0000 0.0000 0.5000  4 Se 2.51
Se 0.5000 0.5000 0.2533  2 Ru 2.51, 2 Mo 2.55
Se 0.5000 0.5000 0.7467  2 Ru 2.51, 2 Mo 2.55

Computed properties:
As for the crystal system: orthorhombic. As for the volume: 17.246 Å³ per atom. The symmetry is Cmmm, No. 65. The density of states at the Fermi level comes out at 5.57 states/eV/cell.

=====

Short version: #one is the most stable of them.

=====

#one
## MoRuSe2 (GGA-PBE)

Data for a relaxed MoRuSe2 crystal.

abc: 5.0181 5.0181 6.2373
angles: 96.94 96.94 36.80
With the nearest neighbours (Å) after each atom.
Positions (direct):
Mo 0.0000 0.0000 0.0000  4 Se 2.48-2.65, 3 Ru 2.60-2.76
Ru 0.7180 0.7180 0.0584  3 Se 2.49-2.52, 3 Mo 2.60-2.76
Se 0.3050 0.3050 0.7909  2 Ru 2.52, 2 Mo 2.65
Se 0.5330 0.5330 0.3078  2 Mo 2.48, 1 Ru 2.49

Computed properties:
As for the crystal system: monoclinic. As for the volume: 23.328 Å³ per atom. The symmetry is Cm, No. 8. The density of states at the Fermi level comes out at 2.30 states/eV/cell.

=====

#two
## MoRuSe2 (GGA-PBE)

Data for a relaxed MoRuSe2 crystal.

abc: 8.4892 8.4892 8.4892
angles: 21.33 21.33 21.33
With the nearest neighbours (Å) after each atom.
Positions (direct):
Mo 0.0000 0.0000 0.0000  6 Se 2.54
Ru 0.5000 0.5000 0.5000  2 Se 2.36
Se 0.4050 0.4050 0.4050  1 Ru 2.36, 3 Mo 2.54
Se 0.5950 0.5950 0.5950  1 Ru 2.36, 3 Mo 2.54

Computed properties:
As for the crystal system: trigonal. As for the volume: 17.732 Å³ per atom. The symmetry is R-3m, No. 166. The density of states at the Fermi level comes out at 2.17 states/eV/cell.

=====

Short version: #one is the most stable of them.

=====

#one
## MoRuSe2 (GGA-PBE)

Data for a relaxed MoRuSe2 crystal.

abc: 4.4359 4.4359 4.4359
angles: 60.00 60.00 60.00
With the nearest neighbours (Å) after each atom.
Positions (direct):
Mo 0.0000 0.0000 0.0000  8 Se 2.72
Ru 0.5000 0.5000 0.5000  8 Se 2.72
Se 0.2500 0.2500 0.2500  4 Mo 2.72, 4 Ru 2.72
Se 0.7500 0.7500 0.7500  4 Mo 2.72, 4 Ru 2.72

Computed properties:
As for the crystal system: cubic. As for the volume: 15.430 Å³ per atom. The symmetry is Fm-3m, No. 225. The density of states at the Fermi level comes out at 2.95 states/eV/cell.

=====

#two
## MoRuSe2 (GGA-PBE)

Data for a relaxed MoRuSe2 crystal.

abc: 3.1053 3.8145 6.7363
angles: 90.00 90.00 90.00
With the nearest neighbours (Å) after each atom.
Positions (direct):
Mo 0.0000 0.0000 0.0000  1 Se 2.41
Ru 0.5000 0.5000 0.1922  5 Se 2.42-2.70
Se 0.0000 0.0000 0.3584  1 Mo 2.41, 4 Ru 2.70
Se 0.5000 0.5000 0.8327  1 Ru 2.42, 4 Mo 2.71

Computed properties:
As for the crystal system: orthorhombic. As for the volume: 19.948 Å³ per atom. The symmetry is Pmm2, No. 25. The density of states at the Fermi level comes out at 3.11 states/eV/cell.

=====

#three
## MoRuSe2 (GGA-PBE)

Data for a relaxed MoRuSe2 crystal.

abc: 5.2929 5.2929 5.2929
angles: 138.45 138.45 60.21
With the nearest neighbours (Å) after each atom.
Positions (direct):
Mo 0.0000 0.0000 0.0000  8 Se 2.65-2.96, 4 Ru 2.96
Ru 0.2500 0.7500 0.5000  8 Se 2.65-2.96, 4 Mo 2.96
Se 0.5000 0.5000 0.0000  4 Mo 2.65, 4 Ru 2.96, 4 Se 2.96
Se 0.7500 0.2500 0.5000  4 Ru 2.65, 4 Mo 2.96, 4 Se 2.96

Computed properties:
As for the crystal system: tetragonal. As for the volume: 16.137 Å³ per atom. The symmetry is I-4m2, No. 119. The density of states at the Fermi level comes out at 3.85 states/eV/cell.

=====

#four
## MoRuSe2 (GGA-PBE)

Data for a relaxed MoRuSe2 crystal.

abc: 3.0018 3.0018 8.1445
angles: 90.00 90.00 90.00
With the nearest neighbours (Å) after each atom.
Positions (direct):
Mo 0.0000 0.0000 0.0000  4 Se 2.58
Ru 0.5000 0.5000 0.2462  4 Se 2.54
Se 0.0000 0.0000 0.4185  4 Ru 2.54
Se 0.5000 0.5000 0.8192  4 Mo 2.58

Computed properties:
As for the crystal system: tetragonal. As for the volume: 18.348 Å³ per atom. The symmetry is P4mm, No. 99. The density of states at the Fermi level comes out at 3.68 states/eV/cell.

=====

Short version: #four is the most stable of them.

=====

#one
## MoRuSe2 (GGA-PBE)

Data for a relaxed MoRuSe2 crystal.

abc: 4.2774 4.2774 5.3394
angles: 101.06 101.06 42.16
With the nearest neighbours (Å) after each atom.
Positions (direct):
Mo 0.0000 0.0000 0.0000  6 Se 2.60-2.66
Ru 0.5000 0.5000 0.5000  6 Se 2.57-2.71
Se 0.2589 0.2589 0.7545  3 Ru 2.57-2.71, 3 Mo 2.60-2.66
Se 0.7411 0.7411 0.2455  3 Ru 2.57-2.71, 3 Mo 2.60-2.66

Computed properties:
As for the crystal system: monoclinic. As for the volume: 16.042 Å³ per atom. The symmetry is C2/m, No. 12. The density of states at the Fermi level comes out at 3.79 states/eV/cell.

=====

#two
## MoRuSe2 (GGA-PBE)

Data for a relaxed MoRuSe2 crystal.

abc: 9.8870 9.8870 9.8870
angles: 17.80 17.80 17.80
With the nearest neighbours (Å) after each atom.
Positions (direct):
Mo 0.0000 0.0000 0.0000  3 Se 2.51
Ru 0.2558 0.2558 0.2558  3 Se 2.47
Se 0.5302 0.5302 0.5302  3 Ru 2.47
Se 0.7279 0.7279 0.7279  3 Mo 2.51

Computed properties:
As for the crystal system: trigonal. As for the volume: 19.720 Å³ per atom. The symmetry is R3m, No. 160. The density of states at the Fermi level comes out at 2.78 states/eV/cell.

=====

Short version: #two is the most stable of them.

=====

#one
## MoRuSe2 (GGA-PBE)

Data for a relaxed MoRuSe2 crystal.

abc: 3.8079 3.9336 6.2432
angles: 90.00 90.00 90.00
With the nearest neighbours (Å) after each atom.
Positions (direct):
Mo 0.0000 0.0000 0.0000  4 Se 2.51-2.53, 4 Ru 2.74
Ru 0.5000 0.5000 0.9945  4 Se 2.50-2.54, 4 Mo 2.74
Se 0.0000 0.5000 0.2544  2 Ru 2.50, 2 Mo 2.53
Se 0.5000 0.0000 0.7375  2 Mo 2.51, 2 Ru 2.54

Computed properties:
As for the crystal system: orthorhombic. As for the volume: 23.379 Å³ per atom. The symmetry is Pmm2, No. 25. The density of states at the Fermi level comes out at 4.29 states/eV/cell.

=====

#two
## MoRuSe2 (GGA-PBE)

Data for a relaxed MoRuSe2 crystal.

abc: 5.1285 5.1285 5.1285
angles: 145.26 113.72 77.06
With the nearest neighbours (Å) after each atom.
Positions (direct):
Mo 0.0000 0.0000 0.0000  4 Se 2.55
Ru 0.5000 0.5000 0.0000  4 Se 2.50
Se 0.2537 0.7537 0.5000  2 Ru 2.50, 2 Mo 2.55
Se 0.7463 0.2463 0.5000  2 Ru 2.50, 2 Mo 2.55

Computed properties:
As for the crystal system: orthorhombic. As for the volume: 17.223 Å³ per atom. The symmetry is Immm, No. 71. The density of states at the Fermi level comes out at 4.19 states/eV/cell.

=====

Short version: #one is the most stable of them.

=====

#one
## Mo3RuSe (GGA-PBE)

Data for a relaxed Mo3RuSe crystal.

abc: 4.5355 4.5355 4.5355
angles: 90.00 90.00 90.00
With the nearest neighbours (Å) after each atom.
Positions (direct):
Mo 0.0000 0.0000 0.5000  2 Se 2.27
Mo 0.0000 0.5000 0.0000  2 Se 2.27
Mo 0.5000 0.0000 0.0000  2 Se 2.27
Ru 0.5000 0.5000 0.5000  12 Mo 3.21
Se 0.0000 0.0000 0.0000  6 Mo 2.27

Computed properties:
As for the crystal system: cubic. As for the volume: 18.660 Å³ per atom. The symmetry is Pm-3m, No. 221. The density of states at the Fermi level comes out at 7.78 states/eV/cell.

=====

#two
## Mo3RuSe (GGA-PBE)

Data for a relaxed Mo3RuSe crystal.

abc: 4.7134 4.7134 4.7134
angles: 90.00 90.00 90.00
With the nearest neighbours (Å) after each atom.
Positions (direct):
Mo 0.0000 0.0000 0.5000  2 Ru 2.36
Mo 0.0000 0.5000 0.0000  2 Ru 2.36
Mo 0.5000 0.0000 0.0000  2 Ru 2.36
Ru 0.0000 0.0000 0.0000  6 Mo 2.36
Se 0.5000 0.5000 0.5000  12 Mo 3.33

Computed properties:
As for the crystal system: cubic. As for the volume: 20.943 Å³ per atom. The symmetry is Pm-3m, No. 221. The density of states at the Fermi level comes out at 7.35 states/eV/cell.

=====

Short version: #one is the most stable of them.